[1]
A plane-wave DFT calculation with PBE-GGA was carried out for an optimized crystal structure of Mn3Ir.

Values from the calculation:
**D(E_F)**: 6.681 states/eV/cell
**Energy of formation**: -0.12 eV per atom

a b c (Å): 5.2134 7.2675 2.6481
angles (deg): 90.00 90.00 90.00
Space group Cmmm (No. 65)
Inequivalent atoms, fractional coordinates:
Mn (0.0000, 0.0000, 0.0000)
Mn (0.2500, 0.2500, 0.5000)
Ir (0.0000, 0.5000, 0.0000)

=====

[2]
A plane-wave DFT calculation with PBE-GGA was carried out for an optimized crystal structure of Mn3Ir.

Values from the calculation:
**D(E_F)**: 3.765 states/eV/cell
**Energy of formation**: -0.09 eV per atom

a b c (Å): 2.6386 3.6338 5.2035
angles (deg): 90.00 90.00 90.00
Space group Pmmm (No. 47)
Inequivalent atoms, fractional coordinates:
Mn (0.0000, 0.0000, 0.0000)
Mn (0.5000, 0.5000, 0.2460)
Ir (0.0000, 0.0000, 0.5000)

=====

[3]
A plane-wave DFT calculation with PBE-GGA was carried out for an optimized crystal structure of MnIr.

Values from the calculation:
**D(E_F)**: 5.285 states/eV/cell
**Energy of formation**: -0.04 eV per atom

a b c (Å): 2.6661 2.6661 8.3416
angles (deg): 90.00 90.00 120.00
Space group P-3m1 (No. 164)
Inequivalent atoms, fractional coordinates:
Mn (0.3333, 0.6667, 0.3869)
Ir (0.3333, 0.6667, 0.8579)

=====

[4]
A plane-wave DFT calculation with PBE-GGA was carried out for an optimized crystal structure of MnIr.

Values from the calculation:
**D(E_F)**: 8.441 states/eV/cell
**Energy of formation**: -0.13 eV per atom

a b c (Å): 9.4666 2.6640 4.5508
angles (deg): 90.00 117.56 90.00
Space group C2/m (No. 12)
Inequivalent atoms, fractional coordinates:
Mn (0.1298, 0.0000, 0.2973)
Ir (0.1205, 0.5000, 0.7940)

=====

[5]
A plane-wave DFT calculation with PBE-GGA was carried out for an optimized crystal structure of MnIr4.

Values from the calculation:
**D(E_F)**: 11.603 states/eV/cell
**Energy of formation**: 0.66 eV per atom
**Polymorph energy (0 for the lowest one)**: 0.769 eV per atom

a b c (Å): 4.7061 4.7061 8.1751
angles (deg): 90.00 90.00 90.00
Space group I4/mmm (No. 139)
Inequivalent atoms, fractional coordinates:
Mn (0.0000, 0.0000, 0.0000)
Ir (0.0000, 0.0000, 0.3512)
Ir (0.0000, 0.5000, 0.2500)

=====

[6]
A plane-wave DFT calculation with PBE-GGA was carried out for an optimized crystal structure of MnIr.

Values from the calculation:
**D(E_F)**: 8.141 states/eV/cell
**Energy of formation**: 0.06 eV per atom

a b c (Å): 4.0706 4.0706 7.8662
angles (deg): 90.00 90.00 120.00
Space group P6_3/mmc (No. 194)
Inequivalent atoms, fractional coordinates:
Mn (0.0000, 0.0000, 0.2500)
Mn (0.3333, 0.6667, 0.2500)
Ir (0.3333, 0.6667, 0.5841)

=====

[7]
A plane-wave DFT calculation with PBE-GGA was carried out for an optimized crystal structure of Mn3Ir.

Values from the calculation:
**D(E_F)**: 4.605 states/eV/cell
**Energy of formation**: 1.26 eV per atom

a b c (Å): 4.9391 4.9391 4.9391
angles (deg): 90.00 90.00 90.00
Space group Pm-3m (No. 221)
Inequivalent atoms, fractional coordinates:
Mn (0.0000, 0.0000, 0.5000)
Ir (0.0000, 0.0000, 0.0000)

=====

[8]
A plane-wave DFT calculation with PBE-GGA was carried out for an optimized crystal structure of MnIr2.

Values from the calculation:
**D(E_F)**: 5.874 states/eV/cell
**Energy of formation**: 0.05 eV per atom

a b c (Å): 2.6983 7.4465 4.2130
angles (deg): 90.00 90.00 90.00
Space group Pnnm (No. 58)
Inequivalent atoms, fractional coordinates:
Mn (0.0000, 0.0000, 0.0000)
Ir (0.2166, 0.3344, 0.0000)

=====

[9]
A plane-wave DFT calculation with PBE-GGA was carried out for an optimized crystal structure of MnIr.

Values from the calculation:
**D(E_F)**: 3.584 states/eV/cell
**Energy of formation**: 0.39 eV per atom

a b c (Å): 3.7636 3.7636 5.2956
angles (deg): 90.00 90.00 120.00
Space group P6_3/mmc (No. 194)
Inequivalent atoms, fractional coordinates:
Mn (0.3333, 0.6667, 0.2500)
Ir (0.0000, 0.0000, 0.0000)

=====

[10]
A plane-wave DFT calculation with PBE-GGA was carried out for an optimized crystal structure of Mn7Ir.

Values from the calculation:
**D(E_F)**: 43.479 states/eV/cell
**Energy of formation**: 0.02 eV per atom

a b c (Å): 7.1653 7.1653 7.1653
angles (deg): 90.00 90.00 90.00
Space group Fm-3m (No. 225)
Inequivalent atoms, fractional coordinates:
Mn (0.0000, 0.0000, 0.0000)
Mn (0.0000, 0.2500, 0.2500)
Ir (0.0000, 0.0000, 0.5000)

=====

[11]
A plane-wave DFT calculation with PBE-GGA was carried out for an optimized crystal structure of Mn3Ir.

Values from the calculation:
**D(E_F)**: 7.758 states/eV/cell
**Energy of formation**: -0.04 eV per atom

a b c (Å): 8.5632 2.6239 4.4373
angles (deg): 90.00 100.77 90.00
Space group C2/m (No. 12)
Inequivalent atoms, fractional coordinates:
Mn (0.0000, 0.0000, 0.0000)
Mn (0.2480, 0.5000, 0.2403)
Ir (0.0000, 0.5000, 0.5000)

=====

[12]
A plane-wave DFT calculation with PBE-GGA was carried out for an optimized crystal structure of Mn8Mo3Ir.

Values from the calculation:
**D(E_F)**: 9.328 states/eV/cell
**Energy of formation**: -0.11 eV per atom

a b c (Å): 4.6898 4.6898 7.7210
angles (deg): 90.00 90.00 120.00
Space group P3m1 (No. 156)
Inequivalent atoms, fractional coordinates:
Mn (0.0000, 0.0000, 0.0000)
Mn (0.0000, 0.0000, 0.4985)
Mn (0.1731, 0.3461, 0.7482)
Mn (0.3465, 0.1733, 0.2488)
Mo (0.3333, 0.6667, 0.0651)
Mo (0.3333, 0.6667, 0.4364)
Mo (0.6667, 0.3333, 0.9280)
Ir (0.6667, 0.3333, 0.5675)

=====

[13]
A plane-wave DFT calculation with PBE-GGA was carried out for an optimized crystal structure of MnMo3Ir.

Values from the calculation:
**D(E_F)**: 5.015 states/eV/cell
**Energy of formation**: 1.09 eV per atom
**Polymorph energy (0 for the lowest one)**: 0.000 eV per atom

a b c (Å): 4.3835 4.3835 4.3835
angles (deg): 90.00 90.00 90.00
Space group Pm-3m (No. 221)
Inequivalent atoms, fractional coordinates:
Mn (0.0000, 0.0000, 0.0000)
Mo (0.0000, 0.0000, 0.5000)
Ir (0.5000, 0.5000, 0.5000)

=====

[14]
A plane-wave DFT calculation with PBE-GGA was carried out for an optimized crystal structure of MnMoIr.

Values from the calculation:
**D(E_F)**: 3.289 states/eV/cell
**Energy of formation**: 0.05 eV per atom
**Polymorph energy (0 for the lowest one)**: 0.134 eV per atom

a b c (Å): 2.7365 2.7365 6.6704
angles (deg): 90.00 90.00 120.00
Space group P3m1 (No. 156)
Inequivalent atoms, fractional coordinates:
Mn (0.0000, 0.0000, 0.0000)
Mo (0.3333, 0.6667, 0.3362)
Ir (0.6667, 0.3333, 0.6771)

=====

[15]
A plane-wave DFT calculation with PBE-GGA was carried out for an optimized crystal structure of MnMoIr.

Values from the calculation:
**D(E_F)**: 16.734 states/eV/cell
**Energy of formation**: 0.37 eV per atom
**Polymorph energy (0 for the lowest one)**: 0.452 eV per atom

a b c (Å): 5.9706 5.9706 5.9706
angles (deg): 90.00 90.00 90.00
Space group F-43m (No. 216)
Inequivalent atoms, fractional coordinates:
Mn (0.0000, 0.0000, 0.0000)
Mo (0.0000, 0.0000, 0.5000)
Ir (0.2500, 0.2500, 0.7500)

=====

[16]
A plane-wave DFT calculation with PBE-GGA was carried out for an optimized crystal structure of MnMo2Ir9.

Values from the calculation:
**D(E_F)**: 11.276 states/eV/cell
**Energy of formation**: -0.15 eV per atom

a b c (Å): 4.7544 6.1153 6.7111
angles (deg): 111.54 90.13 104.72
Space group P-1 (No. 2)
Inequivalent atoms, fractional coordinates:
Mn (0.0000, 0.0000, 0.0000)
Mo (0.0880, 0.7619, 0.5881)
Ir (0.1642, 0.4957, 0.1687)
Ir (0.2479, 0.2524, 0.7477)
Ir (0.3291, 0.0010, 0.3298)
Ir (0.4108, 0.7548, 0.9162)
Ir (0.5000, 0.5000, 0.5000)

=====

[17]
A plane-wave DFT calculation with PBE-GGA was carried out for an optimized crystal structure of MnMoIr.

Values from the calculation:
**D(E_F)**: 6.614 states/eV/cell
**Energy of formation**: 0.02 eV per atom
**Polymorph energy (0 for the lowest one)**: 0.098 eV per atom

a b c (Å): 3.1290 3.1290 8.8857
angles (deg): 90.00 90.00 90.00
Space group I4mm (No. 107)
Inequivalent atoms, fractional coordinates:
Mn (0.0000, 0.0000, 0.0000)
Mo (0.0000, 0.0000, 0.3405)
Ir (0.0000, 0.0000, 0.6647)

=====

[18]
A plane-wave DFT calculation with PBE-GGA was carried out for an optimized crystal structure of Mn2MoIr2.

Values from the calculation:
**D(E_F)**: 8.487 states/eV/cell
**Energy of formation**: 0.29 eV per atom
**Polymorph energy (0 for the lowest one)**: 0.328 eV per atom

a b c (Å): 3.7784 3.7784 10.0975
angles (deg): 90.00 90.00 90.00
Space group I4/mmm (No. 139)
Inequivalent atoms, fractional coordinates:
Mn (0.0000, 0.0000, 0.0962)
Mo (0.0000, 0.0000, 0.5000)
Ir (0.0000, 0.5000, 0.2500)

=====

[19]
A plane-wave DFT calculation with PBE-GGA was carried out for an optimized crystal structure of MnMoIr3.

Values from the calculation:
**D(E_F)**: 24.796 states/eV/cell
**Energy of formation**: 0.08 eV per atom
**Polymorph energy (0 for the lowest one)**: 0.000 eV per atom

a b c (Å): 12.1531 4.9928 4.9252
angles (deg): 90.00 90.00 90.00
Space group Pnna (No. 52)
Inequivalent atoms, fractional coordinates:
Mn (0.0374, 0.2500, 0.2500)
Mo (0.2500, 0.0000, 0.1295)
Ir (0.0460, 0.7500, 0.2500)
Ir (0.1452, 0.0073, 0.6314)

=====

[20]
A plane-wave DFT calculation with PBE-GGA was carried out for an optimized crystal structure of MnMoIr.

Values from the calculation:
**D(E_F)**: 5.728 states/eV/cell
**Energy of formation**: -0.04 eV per atom
**Polymorph energy (0 for the lowest one)**: 0.040 eV per atom

a b c (Å): 4.2322 4.2322 5.3605
angles (deg): 90.00 90.00 120.00
Space group P6_3/mmc (No. 194)
Inequivalent atoms, fractional coordinates:
Mn (0.3333, 0.6667, 0.2500)
Mo (0.0000, 0.0000, 0.0000)
Ir (0.3333, 0.6667, 0.7500)

=====

[21]
A plane-wave DFT calculation with PBE-GGA was carried out for an optimized crystal structure of Mn2MoIr2.

Values from the calculation:
**D(E_F)**: 11.897 states/eV/cell
**Energy of formation**: -0.04 eV per atom
**Polymorph energy (0 for the lowest one)**: 0.000 eV per atom

a b c (Å): 7.0902 7.0902 2.6925
angles (deg): 90.00 90.00 90.00
Space group P4/mbm (No. 127)
Inequivalent atoms, fractional coordinates:
Mn (0.1186, 0.3814, 0.0000)
Mo (0.0000, 0.0000, 0.0000)
Ir (0.1753, 0.6753, 0.5000)

=====

[22]
A plane-wave DFT calculation with PBE-GGA was carried out for an optimized crystal structure of Mn2MoIr2.

Values from the calculation:
**D(E_F)**: 12.634 states/eV/cell
**Energy of formation**: 0.04 eV per atom
**Polymorph energy (0 for the lowest one)**: 0.083 eV per atom

a b c (Å): 7.2063 7.2063 2.6611
angles (deg): 90.00 90.00 90.00
Space group P4/mbm (No. 127)
Inequivalent atoms, fractional coordinates:
Mn (0.1690, 0.3310, 0.0000)
Mo (0.0000, 0.0000, 0.5000)
Ir (0.1286, 0.6286, 0.5000)

=====

[23]
A plane-wave DFT calculation with PBE-GGA was carried out for an optimized crystal structure of MnMoIr.

Values from the calculation:
**D(E_F)**: 5.832 states/eV/cell
**Energy of formation**: -0.08 eV per atom
**Polymorph energy (0 for the lowest one)**: 0.000 eV per atom

a b c (Å): 2.7602 3.7856 8.2691
angles (deg): 90.00 90.00 90.00
Space group Imm2 (No. 44)
Inequivalent atoms, fractional coordinates:
Mn (0.0000, 0.0000, 0.0000)
Mo (0.0000, 0.0000, 0.6694)
Ir (0.0000, 0.0000, 0.3373)

=====

[24]
A plane-wave DFT calculation with PBE-GGA was carried out for an optimized crystal structure of MnMoIr.

Values from the calculation:
**D(E_F)**: 2.656 states/eV/cell
**Energy of formation**: -0.01 eV per atom
**Polymorph energy (0 for the lowest one)**: 0.074 eV per atom

a b c (Å): 4.2287 4.2287 2.6858
angles (deg): 90.00 90.00 120.00
Space group P-6m2 (No. 187)
Inequivalent atoms, fractional coordinates:
Mn (0.0000, 0.0000, 0.0000)
Mo (0.6667, 0.3333, 0.0000)
Ir (0.3333, 0.6667, 0.5000)

=====

[25]
A plane-wave DFT calculation with PBE-GGA was carried out for an optimized crystal structure of MnMoIr.

Values from the calculation:
**D(E_F)**: 5.219 states/eV/cell
**Energy of formation**: -0.06 eV per atom
**Polymorph energy (0 for the lowest one)**: 0.019 eV per atom

a b c (Å): 2.7103 2.7103 11.6561
angles (deg): 90.00 90.00 90.00
Space group I4mm (No. 107)
Inequivalent atoms, fractional coordinates:
Mn (0.0000, 0.0000, 0.0000)
Mo (0.0000, 0.0000, 0.3285)
Ir (0.0000, 0.0000, 0.6588)

=====

[26]
A plane-wave DFT calculation with PBE-GGA was carried out for an optimized crystal structure of MnMoIr3.

Values from the calculation:
**D(E_F)**: 6.103 states/eV/cell
**Energy of formation**: 1.43 eV per atom
**Polymorph energy (0 for the lowest one)**: 1.354 eV per atom

a b c (Å): 4.4362 4.4362 4.4362
angles (deg): 90.00 90.00 90.00
Space group Pm-3m (No. 221)
Inequivalent atoms, fractional coordinates:
Mn (0.0000, 0.0000, 0.0000)
Mo (0.5000, 0.5000, 0.5000)
Ir (0.0000, 0.0000, 0.5000)

=====

[27]
A plane-wave DFT calculation with PBE-GGA was carried out for an optimized crystal structure of MnMoIr6.

Values from the calculation:
**D(E_F)**: 6.956 states/eV/cell
**Energy of formation**: -0.25 eV per atom

a b c (Å): 5.4703 5.4703 3.8658
angles (deg): 90.00 90.00 90.00
Space group P4/mmm (No. 123)
Inequivalent atoms, fractional coordinates:
Mn (0.0000, 0.0000, 0.0000)
Mo (0.5000, 0.5000, 0.0000)
Ir (0.0000, 0.5000, 0.0000)
Ir (0.2504, 0.2504, 0.5000)